DFT (PBE) results for BaNb2AlIn after structural relaxation.

a = 5.073 Å, b = 5.073 Å, c = 5.164 Å
α = 90.00°, β = 90.00°, γ = 90.00°
Space group P4/mmm (No. 123)
One atom of each set of equivalent atoms:
Ba 0.000 0.000 0.000 x1
Nb 0.000 0.500 0.500 x2
Al 0.500 0.500 0.500 x1
In 0.500 0.500 0.000 x1

## Properties
- total moment (Bohr magnetons per cell) = 1.380
- DOS at the Fermi energy (states/eV per cell) = 5.82
- total energy (eV per atom) = -4.837